[1]
A relaxed structure of SiAuBr, computed with PBE.

Values from the calculation:
Spin magnetization in μB per formula unit: 0.0
ρ in g cm⁻³: 6.944
E above lowest polymorph in meV per atom: 712.6
Uncorrected formation energy in eV/atom: 0.5595

Lattice parameters (Å, degrees): 4.6896 4.6896 4.6896 60.00 60.00 60.00
Fractional coordinates of all 3 atoms:
1 Si 0.0000 0.0000 0.0000
2 Au 0.7500 0.7500 0.7500
3 Br 0.5000 0.5000 0.5000

[2]
A relaxed structure of SiAuBr, computed with PBE.

Values from the calculation:
Spin magnetization in μB per formula unit: 0.0
ρ in g cm⁻³: 5.507
E above lowest polymorph in meV per atom: 76.6
Uncorrected formation energy in eV/atom: -0.0765

Lattice parameters (Å, degrees): 4.4719 6.2877 7.5393 68.38 72.91 72.50
Fractional coordinates of all 6 atoms:
1 Si 0.1504 0.4374 0.2542
2 Si 0.8496 0.5626 0.7458
3 Au 0.2864 0.5679 0.8689
4 Au 0.7136 0.4321 0.1311
5 Br 0.0348 0.2007 0.6823
6 Br 0.9652 0.7993 0.3177

[3]
A relaxed structure of SiAuBr2, computed with PBE.

Values from the calculation:
Spin magnetization in μB per formula unit: 0.0
ρ in g cm⁻³: 7.104
E above lowest polymorph in meV per atom: 683.5
Uncorrected formation energy in eV/atom: 0.4828

Lattice parameters (Å, degrees): 5.0294 5.0294 5.0294 60.00 60.00 60.00
Fractional coordinates of all 4 atoms:
1 Si 0.0000 0.0000 0.0000
2 Au 0.5000 0.5000 0.5000
3 Br 0.2500 0.2500 0.2500
4 Br 0.7500 0.7500 0.7500

Q: Which formula does entry 2 have?
A: SiAuBr